Below is a crystal of Y relaxed with PBEsol, with properties calculated at the SCAN level.

It has space group Fmmm (No. 69), with a = 3.616 Å, b = 5.666 Å, c = 12.196 Å, α = 90.00°, β = 90.00° and γ = 90.00°. Symmetry generates all atoms from Y at (0.000, 0.000, 0.137).

The total energy comes out at -27.626 eV per atom. The calculation puts the total moment at 0.00 μB/cell.